# 1
Sr2In3Sn3 (PBE-GGA, optimized geometry); energy of formation from the pure elements = -0.361 eV/atom
1.0
4.8056 0.0000 0.0000
0.0000 5.0108 0.0000
0.0000 0.0000 9.5554
Sr In Sn
2 3 3
Direct
0.0000 0.0000 0.2488
0.0000 0.0000 0.7512
0.0000 0.5000 0.5000
0.5000 0.5000 0.2501
0.5000 0.5000 0.7499
0.0000 0.5000 0.0000
0.5000 0.0000 0.0000
0.5000 0.0000 0.5000

# 2
Tm3NiTe2 (PBE-GGA, optimized geometry); energy relative to the elements, uncorrected = -0.804 eV/atom
1.0
5.9339 0.0000 0.0000
0.0000 14.3436 0.0000
0.0000 0.0000 4.0523
Tm Ni Te
6 2 4
Direct
0.0000 0.0000 0.0000
0.0000 0.3806 0.5000
0.0000 0.6194 0.5000
0.5000 0.1194 0.5000
0.5000 0.5000 0.0000
0.5000 0.8806 0.5000
0.0000 0.5000 0.0000
0.5000 0.0000 0.0000
0.0000 0.1625 0.5000
0.0000 0.8375 0.5000
0.5000 0.3375 0.5000
0.5000 0.6625 0.5000

# 3
Tc2SnHRh (PBE-GGA, optimized geometry); calculated total energy = -7.010 eV per atom
1.0
3.9077 0.0000 0.0000
0.0000 3.9077 0.0000
0.0000 0.0000 4.3004
Tc Sn H Rh
2 1 1 1
Direct
0.0000 0.5000 0.0000
0.5000 0.0000 0.0000
0.0000 0.0000 0.5000
0.5000 0.5000 0.0000
0.5000 0.5000 0.5000

# 4
V2GaB (PBE-GGA, optimized geometry); energy of formation from the pure elements = 0.105 eV/atom
1.0
6.2922 0.0000 0.0000
0.0000 6.2922 0.0000
0.0000 0.0000 5.0195
V Ga B
8 4 4
Direct
0.2101 0.2500 0.1250
0.2500 0.7101 0.3750
0.2500 0.7899 0.8750
0.2899 0.2500 0.6250
0.7101 0.7500 0.6250
0.7500 0.2101 0.8750
0.7500 0.2899 0.3750
0.7899 0.7500 0.1250
0.0000 0.0000 0.5000
0.0000 0.5000 0.7500
0.5000 0.0000 0.2500
0.5000 0.5000 0.0000
0.0000 0.0000 0.0000
0.0000 0.5000 0.2500
0.5000 0.0000 0.7500
0.5000 0.5000 0.5000

# 5
Y3Er12Cd5 (PBE-GGA, optimized geometry); energy of formation from the pure elements = 0.579 eV/atom
1.0
-9.0585 9.0585 9.0585
9.0585 -9.0585 9.0585
9.0585 9.0585 -9.0585
Y Er Cd
12 48 20
Direct
0.1250 0.2500 0.3750
0.1250 0.3750 0.7500
0.2500 0.3750 0.1250
0.2500 0.8750 0.6250
0.3750 0.1250 0.2500
0.3750 0.7500 0.1250
0.6250 0.2500 0.8750
0.6250 0.8750 0.7500
0.7500 0.1250 0.3750
0.7500 0.6250 0.8750
0.8750 0.6250 0.2500
0.8750 0.7500 0.6250
0.0574 0.2198 0.1315
0.0574 0.3375 0.9258
0.0742 0.6315 0.4117
0.0742 0.9426 0.6625
0.0883 0.7198 0.6625
0.0883 0.8685 0.4258
0.1315 0.0574 0.2198
0.1315 0.5742 0.9117
0.1625 0.2198 0.5883
0.1625 0.4426 0.5742
0.2198 0.1315 0.0574
0.2198 0.5883 0.1625
0.2802 0.3375 0.9117
0.2802 0.4426 0.3685
0.3375 0.9117 0.2802
0.3375 0.9258 0.0574
0.3685 0.2802 0.4426
0.3685 0.5883 0.9258
0.4117 0.0742 0.6315
0.4117 0.8375 0.7802
0.4258 0.0883 0.8685
0.4258 0.8375 0.5574
0.4426 0.3685 0.2802
0.4426 0.5742 0.1625
0.5574 0.4258 0.8375
0.5574 0.6315 0.7198
0.5742 0.1625 0.4426
0.5742 0.9117 0.1315
0.5883 0.1625 0.2198
0.5883 0.9258 0.3685
0.6315 0.4117 0.0742
0.6315 0.7198 0.5574
0.6625 0.0742 0.9426
0.6625 0.0883 0.7198
0.7198 0.5574 0.6315
0.7198 0.6625 0.0883
0.7802 0.4117 0.8375
0.7802 0.8685 0.9426
0.8375 0.5574 0.4258
0.8375 0.7802 0.4117
0.8685 0.4258 0.0883
0.8685 0.9426 0.7802
0.9117 0.1315 0.5742
0.9117 0.2802 0.3375
0.9258 0.0574 0.3375
0.9258 0.3685 0.5883
0.9426 0.6625 0.0742
0.9426 0.7802 0.8685
0.0000 0.0000 0.0000
0.0000 0.0000 0.5000
0.0000 0.5000 0.0000
0.0000 0.5000 0.5000
0.1250 0.7500 0.8750
0.1250 0.8750 0.2500
0.2500 0.1250 0.8750
0.2500 0.6250 0.3750
0.3750 0.2500 0.6250
0.3750 0.6250 0.7500
0.5000 0.0000 0.0000
0.5000 0.0000 0.5000
0.5000 0.5000 0.0000
0.5000 0.5000 0.5000
0.6250 0.3750 0.2500
0.6250 0.7500 0.3750
0.7500 0.3750 0.6250
0.7500 0.8750 0.1250
0.8750 0.1250 0.7500
0.8750 0.2500 0.1250

# 6
Tl5Sn2Hg4 (PBE-GGA, optimized geometry); energy of formation from the pure elements = 0.054 eV/atom
1.0
12.1243 -1.7460 0.0000
12.1243 1.7460 0.0000
-0.0442 0.0000 8.1002
Tl Sn Hg
5 2 4
Direct
0.0000 0.0000 0.0000
0.3146 0.3146 0.0173
0.3661 0.3661 0.4200
0.6339 0.6339 0.5800
0.6854 0.6854 0.9827
0.2314 0.2314 0.3444
0.7686 0.7686 0.6556
0.1059 0.1059 0.2340
0.4942 0.4942 0.3230
0.5058 0.5058 0.6770
0.8941 0.8941 0.7660

# 7
YSnAsBr2 (PBE-GGA, optimized geometry); energy relative to the elements, uncorrected = -0.574 eV/atom
1.0
5.4080 0.0000 0.0000
0.0000 5.4080 0.0000
0.0000 0.0000 5.7829
Y Sn As Br
1 1 1 2
Direct
0.0000 0.0000 0.0000
0.5000 0.5000 0.5000
0.0000 0.0000 0.5000
0.0000 0.5000 0.0000
0.5000 0.0000 0.0000

# 8
SrTa2RuPb (PBE-GGA, optimized geometry); energy of formation from the pure elements = 2.601 eV/atom
1.0
5.0662 0.0000 0.0000
0.0000 5.0662 0.0000
0.0000 0.0000 4.7873
Sr Ta Ru Pb
1 2 1 1
Direct
0.0000 0.0000 0.0000
0.0000 0.5000 0.0000
0.5000 0.0000 0.0000
0.0000 0.0000 0.5000
0.5000 0.5000 0.5000

Which total magnetic moment belongs to each record? In order, 0.0; 0.0; 0.0; 0.0; 0.0; 0.0; 0.0; 0.0 μB/cell.